--- w ---
## La7Nd12Th (PBE)

Data for La7Nd12Th after structural relaxation.

Output
Density of states at the Fermi level   1.68 states/eV/atom
Size of the total moment   0.00 Bohr magnetons per cell

POSCAR file:
```
La7Nd12Th
1.0
-2.094 8.075 3.285
-2.875 -3.955 7.514
8.293 0.638 3.345
Nd Th La
12 1 7
Cartesian
4.550 -0.263 9.108 Nd
-1.897 2.558 9.674 Nd
-1.226 5.021 5.036 Nd
4.562 3.161 7.864 Nd
3.002 -0.155 5.873 Nd
5.220 2.200 4.470 Nd
0.322 4.912 8.271 Nd
3.434 6.419 7.123 Nd
-0.111 -1.661 7.022 Nd
1.149 0.562 9.540 Nd
-1.239 1.596 6.281 Nd
2.175 4.195 4.605 Nd
0.000 0.000 0.000 Th
0.089 2.907 2.069 La
0.671 4.569 11.764 La
2.653 0.189 2.381 La
1.662 2.379 7.072 La
-0.891 -0.447 3.427 La
3.234 1.850 12.076 La
4.214 5.205 10.717 La
```

=====

--- x ---
## La7Nd12Th (PBE)

Data for La7Nd12Th after structural relaxation.

Output
Density of states at the Fermi level   1.39 states/eV/atom
Size of the total moment   0.00 Bohr magnetons per cell

POSCAR file:
```
La7Nd12Th
1.0
-4.817 -6.691 -5.935
9.695 0.765 -2.935
-0.378 -3.148 9.651
La Nd Th
7 12 1
Cartesian
4.848 0.382 -1.467 La
-2.408 -3.345 -2.968 La
4.658 -1.191 3.358 La
-0.189 -1.574 4.826 La
-2.597 -4.919 1.858 La
2.439 -2.963 -4.435 La
2.250 -4.537 0.391 La
-0.012 -3.525 -1.234 Nd
6.453 -0.985 -3.548 Nd
1.887 -2.360 6.788 Nd
3.658 -6.279 -1.549 Nd
0.842 -2.795 2.330 Nd
3.221 -1.849 -0.393 Nd
2.613 -6.713 -6.007 Nd
-3.734 -5.942 -2.440 Nd
8.234 -3.131 3.221 Nd
4.512 -5.549 2.016 Nd
-1.953 -8.088 4.330 Nd
1.279 -7.225 1.174 Nd
0.000 0.000 0.000 Th
```

=====

Which of them is least stable? Easy: x.

=====

--- w ---
## La5Nd4Th (PBE)

Data for La5Nd4Th after structural relaxation.

Output
Density of states at the Fermi level   2.01 states/eV/atom
Size of the total moment   0.00 Bohr magnetons per cell

POSCAR file:
```
La5Nd4Th
1.0
4.365 0.000 0.000
0.000 4.365 0.000
0.000 0.000 18.752
La Nd Th
5 4 1
Cartesian
2.183 2.183 5.673 La
2.183 2.183 13.079 La
2.183 2.183 17.085 La
2.183 2.183 9.376 La
2.183 2.183 1.667 La
0.000 0.000 11.281 Nd
0.000 0.000 15.138 Nd
0.000 0.000 7.471 Nd
0.000 0.000 3.614 Nd
0.000 0.000 0.000 Th
```

=====

--- x ---
## La5Nd4Th (PBE)

Data for La5Nd4Th after structural relaxation.

Output
Density of states at the Fermi level   1.71 states/eV/atom
Size of the total moment   0.00 Bohr magnetons per cell

POSCAR file:
```
La5Nd4Th
1.0
6.617 0.526 -0.107
-0.990 6.167 -2.596
1.974 0.660 8.499
La Th Nd
5 1 4
Cartesian
0.895 5.317 0.519 La
6.705 2.035 5.277 La
2.813 3.346 -1.351 La
5.302 4.636 3.109 La
2.298 2.716 2.687 La
3.308 0.263 -0.054 Th
4.197 6.551 0.100 Nd
6.340 2.381 0.024 Nd
3.403 0.801 5.696 Nd
1.260 4.971 5.772 Nd
```

=====

Which of them is least stable? Easy: x.

=====

--- w ---
## LaNdTmTh (PBE)

Data for LaNdTmTh after structural relaxation.

Output
Density of states at the Fermi level   2.85 states/eV/atom
Size of the total moment   0.37 Bohr magnetons per cell

POSCAR file:
```
LaNdTmTh
1.0
-5.524 0.288 -1.608
-1.770 -2.764 -4.735
-3.382 -4.640 0.468
Th Nd Tm La
1 1 1 1
Cartesian
-5.338 -3.558 -2.938 Th
-8.007 -5.337 -4.406 Nd
0.000 0.000 0.000 Tm
-2.669 -1.779 -1.469 La
```

=====

--- x ---
## LaNdTmTh (PBE)

Data for LaNdTmTh after structural relaxation.

Output
Density of states at the Fermi level   1.27 states/eV/atom
Size of the total moment   0.00 Bohr magnetons per cell

POSCAR file:
```
LaNdTmTh
1.0
-2.196 -2.730 0.915
2.284 -2.352 -1.537
4.969 -1.007 8.924
Th La Tm Nd
1 1 1 1
Cartesian
2.808 -0.569 5.043 Th
0.390 -0.079 0.700 La
1.704 -2.878 2.671 Tm
4.054 -3.354 6.891 Nd
```

=====

Which of them is least stable? Easy: w.

=====

--- w ---
## LaNdYTh (PBE)

Data for LaNdYTh after structural relaxation.

Output
Density of states at the Fermi level   1.56 states/eV/atom
Size of the total moment   0.00 Bohr magnetons per cell

POSCAR file:
```
LaNdYTh
1.0
-0.565 -0.587 3.542
2.270 -2.132 1.874
7.286 8.572 4.447
Nd Th Y La
1 1 1 1
Cartesian
7.153 6.677 5.977 Nd
2.103 -0.449 3.991 Th
3.170 2.764 2.828 Y
5.988 3.324 7.100 La
```

=====

--- x ---
## LaNdYTh (PBE)

Data for LaNdYTh after structural relaxation.

Output
Density of states at the Fermi level   2.98 states/eV/atom
Size of the total moment   0.01 Bohr magnetons per cell

POSCAR file:
```
LaNdYTh
1.0
-1.419 -3.050 -4.712
4.145 -2.416 -3.241
0.664 -5.751 -0.034
Nd Th Y La
1 1 1 1
Cartesian
0.848 -2.805 -1.997 Nd
1.695 -5.609 -3.993 Th
0.000 0.000 0.000 Y
2.543 -8.414 -5.990 La
```

=====

Which of them is least stable? Easy: x.

=====

--- w ---
## La2Nd3Tl2 (PBE)

Data for La2Nd3Tl2 after structural relaxation.

Output
Density of states at the Fermi level   0.90 states/eV/atom
Size of the total moment   0.00 Bohr magnetons per cell

POSCAR file:
```
La2Nd3Tl2
1.0
5.440 0.015 -1.579
-1.393 4.517 -4.749
1.009 -3.861 13.530
La Tl Nd
2 2 3
Cartesian
0.364 1.293 1.202 La
4.692 -0.623 6.001 La
2.620 1.582 -1.175 Tl
2.436 -0.911 8.377 Tl
3.612 0.071 2.245 Nd
1.444 0.600 4.957 Nd
-0.696 2.258 -2.375 Nd
```

=====

--- x ---
## La2Nd3Tl2 (PBE)

Data for La2Nd3Tl2 after structural relaxation.

Output
Density of states at the Fermi level   0.87 states/eV/atom
Size of the total moment   0.00 Bohr magnetons per cell

POSCAR file:
```
La2Nd3Tl2
1.0
-5.390 1.407 0.899
1.284 -3.974 -3.791
0.405 -3.684 8.202
Tl Nd La
2 3 2
Cartesian
-3.148 -4.261 5.506 Tl
-0.552 -1.990 -0.196 Tl
-0.759 -4.257 2.113 Nd
-2.695 0.704 0.449 Nd
-2.941 -1.994 3.198 Nd
-3.777 -3.022 -0.203 La
0.076 -3.228 5.514 La
```

=====

Which of them is least stable? Easy: w.

=====

--- w ---
## La3Nd3Tl2 (PBE)

Data for La3Nd3Tl2 after structural relaxation.

Output
Density of states at the Fermi level   1.64 states/eV/atom
Size of the total moment   0.00 Bohr magnetons per cell

POSCAR file:
```
La3Nd3Tl2
1.0
5.091 0.000 0.000
0.000 5.023 0.000
0.000 0.000 9.958
La Tl Nd
3 2 3
Cartesian
2.545 2.512 7.473 La
2.545 2.512 2.485 La
2.545 0.000 0.000 La
0.000 0.000 2.511 Tl
0.000 0.000 7.446 Tl
0.000 2.512 4.979 Nd
2.545 0.000 4.979 Nd
0.000 2.512 0.000 Nd
```

=====

--- x ---
## La3Nd3Tl2 (PBE)

Data for La3Nd3Tl2 after structural relaxation.

Output
Density of states at the Fermi level   1.22 states/eV/atom
Size of the total moment   0.00 Bohr magnetons per cell

POSCAR file:
```
La3Nd3Tl2
1.0
5.471 0.000 0.000
-2.735 6.292 0.000
0.000 0.000 15.908
Nd La Tl
6 6 4
Cartesian
2.735 1.670 7.444 Nd
2.735 1.670 0.510 Nd
0.000 5.509 3.977 Nd
0.000 4.622 8.464 Nd
0.000 4.622 15.398 Nd
2.735 0.783 11.931 Nd
0.000 0.543 14.145 La
2.735 2.712 3.977 La
2.735 5.749 1.763 La
2.735 5.749 6.191 La
0.000 0.543 9.717 La
0.000 3.580 11.931 La
0.000 2.787 2.101 Tl
0.000 2.787 5.853 Tl
2.735 3.504 10.055 Tl
2.735 3.504 13.807 Tl
```

=====

Which of them is least stable? Easy: x.